! CrGeN2F (GGA+U, optimized geometry); values from VASP
&SYSTEM
  ibrav = 0, nat = 5, ntyp = 4
/
ATOMIC_SPECIES
Cr 52.00 Cr.upf
Ge 72.64 Ge.upf
N 14.01 N.upf
F 19.00 F.upf
CELL_PARAMETERS angstrom
3.913 0.000 0.000
0.000 3.913 0.000
0.000 0.000 3.878
ATOMIC_POSITIONS angstrom
Cr 0.000 0.000 0.000
Ge 1.957 1.957 1.939
N 0.000 1.957 0.000
N 1.957 0.000 0.000
F 0.000 0.000 1.939
! Space group: P4/mmm (123)
! Relative energy among the computed polymorphs (eV/f.u.): 0.00
! Total magnetization (μB per formula unit): 1.0